one.
PBE-GGA CaThZn4, optimized geometry; crystal system = cubic
1.0
5.562 0.000 0.000
2.781 4.817 0.000
2.781 1.606 4.541
Ca Zn Th
1 4 1
direct
0.250 0.250 0.250 Ca
0.124 0.625 0.625 Zn
0.625 0.124 0.625 Zn
0.625 0.625 0.124 Zn
0.625 0.625 0.625 Zn
0.000 0.000 0.000 Th



two.
PBE-GGA CaThZn4, optimized geometry; crystal system = tetragonal
1.0
4.051 0.000 -1.251
-0.386 4.033 -1.251
0.284 0.313 8.105
Zn Ca Th
4 1 1
direct
0.833 0.333 0.667 Zn
0.667 0.167 0.333 Zn
0.582 0.582 0.164 Zn
0.418 0.418 0.836 Zn
0.250 0.750 0.500 Ca
0.000 0.000 0.000 Th



Energetically preferred structure: two | next structure: +8 meV/atom



one.
PBE-GGA Ca3TiTl, optimized geometry; crystal system = cubic
1.0
5.819 0.000 0.000
0.000 5.819 0.000
0.000 0.000 5.819
Ca Ti Tl
3 1 1
direct
0.000 0.000 0.500 Ca
0.000 0.500 0.000 Ca
0.500 0.000 0.000 Ca
0.000 0.000 0.000 Ti
0.500 0.500 0.500 Tl



two.
PBE-GGA Ca3TiTl, optimized geometry; crystal system = cubic
1.0
5.881 0.000 0.000
0.000 5.881 0.000
0.000 0.000 5.881
Ti Ca Tl
1 3 1
direct
0.500 0.500 0.500 Ti
0.000 0.500 0.000 Ca
0.500 0.000 0.000 Ca
0.000 0.000 0.500 Ca
0.000 0.000 0.000 Tl



Energetically preferred structure: one | next structure: +29 meV/atom